A plane-wave DFT calculation with GGA-PBE was carried out for a geometry-optimized LiAs structure.

```
16
Lattice="-1.446 -5.195 -1.945 1.934 1.296 -4.897 8.719 -3.381 2.549" Properties=species:S:1:pos:R:3 pbc="T T T"
As 1.930 -3.795 -3.885
As 8.258 -2.785 -2.839
Li 0.523 -4.203 -1.493
Li 3.736 -1.781 -2.585
Li 3.387 -4.526 -1.679
Li 6.380 -5.061 -4.236
As 1.582 -0.320 -1.833
Li 7.776 -3.515 -0.274
Li 5.096 -2.528 0.161
As 5.863 -5.814 -1.584
As 5.883 -3.407 -2.209
Li 1.666 -0.926 -4.408
Li 8.265 -6.580 -2.661
As 3.827 -4.893 -5.158
As 2.363 -2.165 -0.280
As 7.122 -5.940 0.612
```

Computed properties:
The total energy comes out at -7.5 eV/f.u. The calculated volume is 301.3 Å³ per cell. The formation energy is -45.1 kJ per mole of atoms. Its space-group type is No. 19.